Here is an optimized crystal structure of Be2AgHg from Alexandria. Energies are from PBE.

abc: 4.2442 4.2442 3.0844
angles: 90.00 90.00 90.43
Positions (direct):
Be: 0.0000 0.5000 0.0000
Be: 0.5000 0.0000 0.0000
Ag: 0.0000 0.0000 0.5000
Hg: 0.5000 0.5000 0.5000

Calculated values
- DFT formation energy (eV/f.u.) = 1.4
- space group = No. 65
- electronic total energy (eV per atom) = -2.30
- total magnetization (μB per cell) = 0.00